Entry from Alexandria: crystalline PuSnRu2 at its relaxed geometry (PBE).

Results
DOS(E_F), states/eV per cell: 9.79
Formation enthalpy at 0 K, meV per atom: -82

Cell lengths 3.3231, 3.3231, 6.6076 Å; angles 90.00, 90.00, 90.00 degrees
Closest atoms and distances in Å follow each position.
Space group P4/mmm (No. 123)
Inequivalent atoms, fractional coordinates:
Pu: 0.0000 0.0000 0.0000 (multiplicity 1)  8 Ru 2.94
Sn: 0.0000 0.0000 0.5000 (multiplicity 1)  8 Ru 2.81
Ru: 0.5000 0.5000 0.2663 (multiplicity 2)  4 Sn 2.81, 4 Pu 2.94, 1 Ru 3.09